## Cr2NiIrN (PBE)

Data for a geometry-optimized Cr2NiIrN structure.

Raw formation energy: -0.128 eV/atom

Lattice parameters (Å, degrees): 3.823 3.823 3.838 90.00 90.00 90.00
Each line ends with the local moment (μB).
Element x y z (fractional)
1 Ir 0.500 0.500 0.500  0.08
2 N 0.000 0.000 0.000  -0.06
3 Cr 0.000 0.500 0.000  1.23
4 Ni 0.000 0.000 0.500  0.03
5 Cr 0.500 0.000 0.000  1.23



## CrIr2PtN (PBE)

Data for a geometry-optimized CrIr2PtN structure.

Raw formation energy: 0.261 eV/atom

Lattice parameters (Å, degrees): 4.095 3.847 4.095 90.00 90.00 90.00
Element x y z (fractional)
1 Ir 0.000 0.000 0.500
2 Ir 0.500 0.000 0.000
3 N 0.000 0.000 0.000
4 Cr 0.000 0.500 0.000
5 Pt 0.500 0.500 0.500



| no. | total moment (μB per formula unit) |
| --- | --- |
| 1 | 2.6 |
| 2 | 0.0 |